Entry 1:
Crystalline Tm5Cu2Hg at its relaxed geometry, computed with PBE.

The structure in CIF format:
```
data_Tm5Cu2Hg
_symmetry_space_group_name_H-M 'I 4/m c m'
_symmetry_Int_Tables_number 140
_symmetry_space_group_name_Hall '-I 4 2c'
_cell_length_a 7.7582
_cell_length_b 7.7582
_cell_length_c 12.7726
_cell_angle_alpha 90.00
_cell_angle_beta 90.00
_cell_angle_gamma 90.00
loop_
_atom_site_label
_atom_site_type_symbol
_atom_site_fract_x
_atom_site_fract_y
_atom_site_fract_z
Tm1 Tm 0.0000 0.0000 0.0000
Tm2 Tm 0.1583 0.3417 0.1415
Cu1 Cu 0.1279 0.3721 0.5000
Hg1 Hg 0.0000 0.0000 0.2500
```

Computed properties:
formation enthalpy at 0 K	-0.2464	eV per atom
calculated volume	24.0	Å³/atom
E_tot	-4.1029	eV per atom

Entry 2:
Crystalline Sr2SiO4 at its relaxed geometry, computed with PBE.

The structure in CIF format:
```
data_Sr2SiO4
_symmetry_space_group_name_H-M 'P 1 21/m 1'
_symmetry_Int_Tables_number 11
_cell_length_a 5.2861
_cell_length_b 5.9199
_cell_length_c 6.9780
_cell_angle_alpha 90.00
_cell_angle_beta 105.51
_cell_angle_gamma 90.00
loop_
_symmetry_equiv_pos_as_xyz
'x,y,z'
'-x,-y,-z'
'-x,y+1/2,-z'
'x,-y+1/2,z'
loop_
_atom_site_label
_atom_site_type_symbol
_atom_site_fract_x
_atom_site_fract_y
_atom_site_fract_z
Sr1 Sr 0.0922 0.2500 0.1068
Sr2 Sr 0.2112 0.7500 0.4974
Si1 Si 0.3566 0.2500 0.7281
O1 O 0.1947 0.0289 0.7793
O2 O 0.3030 0.2500 0.4786
O3 O 0.3262 0.7500 0.1755
```

Computed properties:
ΔE_f (raw)	-2.94	eV per atom
calculated volume	15.0	Å³/atom
E_tot	-7.0261	eV per atom

Entry 3:
Crystalline Ba2ZnHRh at its relaxed geometry, computed with PBE.

The structure in CIF format:
```
data_Ba2ZnHRh
_symmetry_space_group_name_H-M 'P 4/m m m'
_symmetry_Int_Tables_number 123
_symmetry_space_group_name_Hall '-P 4 2'
_cell_length_a 5.7121
_cell_length_b 5.7121
_cell_length_c 3.7697
_cell_angle_alpha 90.00
_cell_angle_beta 90.00
_cell_angle_gamma 90.00
loop_
_atom_site_label
_atom_site_type_symbol
_atom_site_fract_x
_atom_site_fract_y
_atom_site_fract_z
Ba1 Ba 0.0000 0.5000 0.0000
Zn1 Zn 0.0000 0.0000 0.5000
H1 H 0.5000 0.5000 0.0000
Rh1 Rh 0.5000 0.5000 0.5000
```

Computed properties:
calculated volume	24.6	Å³/atom
E_tot	-3.3838	eV per atom

Entry 4:
Crystalline ZrMn4Co at its relaxed geometry, computed with PBE.

The structure in CIF format:
```
data_ZrMn4Co
_symmetry_space_group_name_H-M 'F -4 3 m'
_symmetry_Int_Tables_number 216
_symmetry_space_group_name_Hall 'F -4 2 3'
_cell_length_a 6.7474
_cell_length_b 6.7474
_cell_length_c 6.7474
_cell_angle_alpha 90.00
_cell_angle_beta 90.00
_cell_angle_gamma 90.00
loop_
_atom_site_label
_atom_site_type_symbol
_atom_site_fract_x
_atom_site_fract_y
_atom_site_fract_z
Zr1 Zr 0.0000 0.0000 0.0000
Mn1 Mn 0.1242 0.1242 0.3758
Co1 Co 0.2500 0.2500 0.7500
```

Computed properties:
formation enthalpy at 0 K	0.0662	eV per atom
calculated volume	12.8	Å³/atom
E_tot	-8.6559	eV per atom

> The highest E_tot belongs to which entry?

Ba2ZnHRh

> What is the formula in the second record?

Sr2SiO4

> Which formula does entry 3 have?

Ba2ZnHRh